DFT (SCAN) results for a crystal of LaAgIr3 relaxed with PBEsol.

a b c (Å): 4.7705 4.7705 4.7705
angles (deg): 90.00 90.00 90.00
Closest atoms and distances in Å follow each position.
Fractional positions:
1 La 0.0000 0.0000 0.0000  12 Ir 3.37
2 Ag 0.5000 0.5000 0.5000  6 Ir 2.39
3 Ir 0.0000 0.5000 0.5000  2 Ag 2.39
4 Ir 0.5000 0.0000 0.5000  2 Ag 2.39
5 Ir 0.5000 0.5000 0.0000  2 Ag 2.39

Calculated values
Volume   108.6 Å³/f.u.
Magnetic moment   1.69 μB/cell
Calculated formation energy   1.265 eV per atom

DFT (SCAN) results for a crystal of SiSnSbPt2 relaxed with PBEsol.

a b c (Å): 4.5521 4.5521 5.2117
angles (deg): 90.00 90.00 90.00
Closest atoms and distances in Å follow each position.
Fractional positions:
1 Si 0.0000 0.0000 0.0000  4 Pt 2.28
2 Sn 0.0000 0.0000 0.5000  2 Si 2.61
3 Sb 0.5000 0.5000 0.5000  4 Sn 3.22, 8 Pt 3.46
4 Pt 0.0000 0.5000 0.0000  2 Si 2.28
5 Pt 0.5000 0.0000 0.0000  2 Si 2.28

Calculated values
Volume   108.0 Å³/f.u.
Magnetic moment   0.00 μB/cell
Raw formation energy   0.368 eV/atom

DFT (SCAN) results for a crystal of RbH2Cl relaxed with PBEsol.

a b c (Å): 4.7223 4.7223 4.7223
angles (deg): 60.00 60.00 60.00
Closest atoms and distances in Å follow each position.
Fractional positions:
1 Rb 0.0000 0.0000 0.0000  8 H 2.89
2 H 0.2500 0.2500 0.2500  4 Cl 2.89, 4 Rb 2.89
3 H 0.7500 0.7500 0.7500  4 Cl 2.89, 4 Rb 2.89
4 Cl 0.5000 0.5000 0.5000  8 H 2.89

Calculated values
E   -0.326 hartree per atom
Volume   74.5 Å³/f.u.
Magnetic moment   2.00 μB/cell

DFT (SCAN) results for a crystal of Tm2PdRh relaxed with PBEsol.

a b c (Å): 4.7562 4.7562 4.7562
angles (deg): 60.00 60.00 60.00
Closest atoms and distances in Å follow each position.
Fractional positions:
1 Tm 0.2500 0.2500 0.2500  4 Rh 2.91, 4 Pd 2.91
2 Tm 0.7500 0.7500 0.7500  4 Pd 2.91, 4 Rh 2.91
3 Pd 0.0000 0.0000 0.0000  8 Tm 2.91
4 Rh 0.5000 0.5000 0.5000  8 Tm 2.91

Calculated values
Volume   76.1 Å³/f.u.
Magnetic moment   0.00 μB/cell
Calculated formation energy   -1.071 eV per atom

Q: What is the magnetic moment in the first record?
A: 1.69 μB/cell